[1]
The following is a GGA-PBE calculation of a geometry-optimized CaSmPb2 structure, from Alexandria. Values from VASP.

```
&SYSTEM
  ibrav = 0, nat = 8, ntyp = 3
/
ATOMIC_SPECIES
Ca 40.08 Ca.upf
Pb 207.20 Pb.upf
Sm 150.36 Sm.upf
ATOMIC_POSITIONS angstrom
Ca 2.216 2.433 2.775
Ca 2.216 3.911 7.231
Pb 0.000 2.556 0.346
Pb 2.216 5.892 4.104
Pb 2.216 0.452 8.560
Pb 0.000 3.788 4.802
Sm 0.000 0.830 6.142
Sm 0.000 5.513 1.686
CELL_PARAMETERS angstrom
4.432 0.000 0.000
0.000 6.344 0.000
0.000 0.000 8.912
```

[2]
The following is a GGA-PBE calculation of a geometry-optimized CaSmPb6 structure, from Alexandria. Values from VASP.

```
&SYSTEM
  ibrav = 0, nat = 8, ntyp = 3
/
ATOMIC_SPECIES
Sm 150.36 Sm.upf
Ca 40.08 Ca.upf
Pb 207.20 Pb.upf
ATOMIC_POSITIONS angstrom
Sm 0.000 0.000 5.000
Ca 0.000 0.000 0.000
Pb 0.000 2.443 2.496
Pb 2.443 2.443 0.000
Pb 2.443 0.000 7.503
Pb 0.000 2.443 7.503
Pb 2.443 0.000 2.496
Pb 2.443 2.443 5.000
CELL_PARAMETERS angstrom
4.885 0.000 0.000
0.000 4.885 0.000
0.000 0.000 9.999
```

[3]
The following is a GGA-PBE calculation of a geometry-optimized Ca4SmPb15 structure, from Alexandria. Values from VASP.

```
&SYSTEM
  ibrav = 0, nat = 20, ntyp = 3
/
ATOMIC_SPECIES
Pb 207.20 Pb.upf
Ca 40.08 Ca.upf
Sm 150.36 Sm.upf
ATOMIC_POSITIONS angstrom
Pb 3.497 4.258 11.395
Pb 1.458 -2.929 1.178
Pb 6.423 5.025 9.680
Pb 3.037 0.139 1.719
Pb 6.882 9.143 19.355
Pb 9.808 9.910 17.640
Pb 0.111 -0.628 3.434
Pb 1.803 1.814 7.412
Pb 4.729 2.581 5.697
Pb 6.539 4.403 13.124
Pb 5.190 6.702 15.377
Pb 8.231 6.845 17.103
Pb 3.147 -0.492 5.149
Pb 8.116 7.468 13.662
Pb 4.839 1.950 9.127
Ca 1.684 2.430 3.959
Ca 3.384 4.883 7.957
Ca 6.778 9.781 15.937
Ca 5.078 7.328 11.940
Sm 0.000 0.000 0.000
CELL_PARAMETERS angstrom
-1.468 -3.696 2.893
4.384 -2.162 -0.537
8.462 12.211 19.896
```

[4]
The following is a GGA-PBE calculation of a geometry-optimized CaSm3Pb2 structure, from Alexandria. Values from VASP.

```
&SYSTEM
  ibrav = 0, nat = 12, ntyp = 3
/
ATOMIC_SPECIES
Sm 150.36 Sm.upf
Ca 40.08 Ca.upf
Pb 207.20 Pb.upf
ATOMIC_POSITIONS angstrom
Sm 2.357 1.388 3.945
Sm 0.000 3.720 3.792
Sm 0.000 6.325 1.160
Sm 2.357 6.240 4.285
Sm 2.357 -1.217 6.577
Sm 0.000 -1.132 3.452
Ca 0.000 1.761 0.726
Ca 2.357 3.347 7.010
Pb 0.000 1.000 6.155
Pb 2.357 4.108 1.582
Pb 2.357 -0.773 1.387
Pb 0.000 5.881 6.349
CELL_PARAMETERS angstrom
4.715 0.000 0.000
-2.357 10.377 -0.573
0.000 -5.269 8.309
```

[5]
The following is a GGA-PBE calculation of a geometry-optimized CaSmPb2 structure, from Alexandria. Values from VASP.

```
&SYSTEM
  ibrav = 0, nat = 4, ntyp = 3
/
ATOMIC_SPECIES
Ca 40.08 Ca.upf
Pb 207.20 Pb.upf
Sm 150.36 Sm.upf
ATOMIC_POSITIONS angstrom
Ca 1.794 1.794 0.000
Pb 0.000 0.000 2.307
Pb 0.000 0.000 6.908
Sm 1.794 1.794 4.608
CELL_PARAMETERS angstrom
3.588 0.000 0.000
0.000 3.588 0.000
0.000 0.000 9.215
```

[6]
The following is a GGA-PBE calculation of a geometry-optimized Ca2SmPb3 structure, from Alexandria. Values from VASP.

```
&SYSTEM
  ibrav = 0, nat = 6, ntyp = 3
/
ATOMIC_SPECIES
Pb 207.20 Pb.upf
Ca 40.08 Ca.upf
Sm 150.36 Sm.upf
ATOMIC_POSITIONS angstrom
Pb 0.000 0.000 4.618
Pb 0.000 0.000 9.230
Pb 0.000 0.000 0.000
Ca 1.795 1.795 11.567
Ca 1.795 1.795 2.281
Sm 1.795 1.795 6.924
CELL_PARAMETERS angstrom
3.589 0.000 0.000
0.000 3.589 0.000
0.000 0.000 13.848
```

Calculated values
energy relative to the lowest polymorph listed for this composition: 0 meV per atom

Computed values of formation energy (unit: eV per atom) for the preceding records, in sequence: -0.476; -0.336; -0.323; -0.330; -0.511; -0.513.